Record 1
{"formula": "AcNi2B2", "functional": "PBE-GGA", "state": "optimized geometry", "cell": [[3.1073, 0.0000, -1.3393], [-0.3779, 3.8641, -0.8769], [0.6411, -0.1296, 5.7617]], "species": ["Ac", "Ni", "Ni", "B", "B"], "frac_coords": [[0.0000, 0.0000, 0.0000], [0.6904, 0.6022, 0.3808], [0.3096, 0.3978, 0.6192], [0.2587, 0.8724, 0.5175], [0.7413, 0.1276, 0.4825]], "formation_energy_ev_per_atom": -0.260, "energy_ev_per_atom": -6.0650, "crystal_system": "monoclinic"}



Record 2
{"formula": "TmNb2Ru2", "functional": "PBE-GGA", "state": "optimized geometry", "cell": [[-1.8441, 2.2944, -1.1661], [-1.1921, 0.5007, 2.8702], [5.9922, 6.3917, 3.1000]], "species": ["Tm", "Nb", "Nb", "Ru", "Ru"], "frac_coords": [[0.0000, 0.0000, 0.0000], [0.0000, 0.1855, 0.6291], [0.0000, 0.8145, 0.3709], [0.5000, 0.3973, 0.2055], [0.5000, 0.6027, 0.7945]], "formation_energy_ev_per_atom": -0.100, "energy_ev_per_atom": -8.7329, "crystal_system": "orthorhombic"}



Record 3
{"formula": "VAg2Pd8", "functional": "PBE-GGA", "state": "optimized geometry", "cell": [[-3.9162, 1.4643, -0.6925], [0.6192, -1.4255, -6.4989], [-2.5504, -5.4986, 2.8130]], "species": ["V", "Ag", "Ag", "Pd", "Pd", "Pd", "Pd", "Pd", "Pd", "Pd", "Pd"], "frac_coords": [[0.5000, 0.0000, 0.0000], [0.0000, 0.6240, 0.3760], [0.0000, 0.3760, 0.6240], [0.9996, 0.9616, 0.7041], [0.9996, 0.7041, 0.9616], [0.4996, 0.6809, 0.6809], [0.5000, 0.2304, 0.7696], [0.5000, 0.7696, 0.2304], [0.5004, 0.3191, 0.3191], [0.0004, 0.2959, 0.0384], [0.0004, 0.0384, 0.2959]], "formation_energy_ev_per_atom": 0.078, "energy_ev_per_atom": -5.0457, "crystal_system": "orthorhombic"}



Record 4
{"formula": "Y2Si3PdPt4", "functional": "PBE-GGA", "state": "optimized geometry", "cell": [[4.1060, 0.0000, 0.0000], [0.0000, 4.1060, 0.0000], [0.0000, 0.0000, 10.6078]], "species": ["Y", "Y", "Si", "Si", "Si", "Pd", "Pt", "Pt", "Pt", "Pt"], "frac_coords": [[0.5000, 0.0000, 0.2549], [0.0000, 0.5000, 0.7451], [0.0000, 0.0000, 0.5000], [0.5000, 0.0000, 0.8714], [0.0000, 0.5000, 0.1286], [0.5000, 0.5000, 0.5000], [0.5000, 0.5000, 0.0000], [0.0000, 0.0000, 0.0000], [0.5000, 0.0000, 0.6540], [0.0000, 0.5000, 0.3460]], "raw_formation_energy_ev_per_atom": -0.988, "energy_ev_per_atom": -6.8433, "crystal_system": "tetragonal"}



Record 5
{"formula": "NaTa3Cr", "functional": "PBE-GGA", "state": "optimized geometry", "cell": [[-1.4472, -1.1912, 4.3175], [3.9129, -2.5439, 0.6098], [2.1792, 3.7767, 1.7725]], "species": ["Cr", "Na", "Ta", "Ta", "Ta"], "frac_coords": [[0.0000, 0.0000, 0.0000], [0.5000, 0.5000, 0.5000], [0.0000, 0.5000, 0.0000], [0.0000, 0.0000, 0.5000], [0.5000, 0.0000, 0.0000]], "formation_energy_ev_per_atom": 1.144, "energy_ev_per_atom": -8.1562, "e_above_lowest_polymorph_ev_per_atom": 0.000, "crystal_system": "cubic"}



Record 6
{"formula": "Y2TcBr", "functional": "PBE-GGA", "state": "optimized geometry", "cell": [[8.7880, -0.0016, -0.0010], [8.0299, 3.5707, -0.0010], [8.0299, 1.7041, 3.1378]], "species": ["Y", "Y", "Tc", "Br"], "frac_coords": [[0.0089, 0.0089, 0.0089], [0.4911, 0.4911, 0.4911], [0.7500, 0.7500, 0.7500], [0.2500, 0.2500, 0.2500]], "raw_formation_energy_ev_per_atom": -0.468, "energy_ev_per_atom": -6.7102, "e_above_lowest_polymorph_ev_per_atom": 0.122, "crystal_system": "trigonal"}



Record 7
{"formula": "NbHg2H", "functional": "PBE-GGA", "state": "optimized geometry", "cell": [[6.7449, 0.0000, 0.0000], [0.0000, 6.7449, 0.0000], [3.3725, 3.3725, 3.0100]], "species": ["H", "H", "Nb", "Nb", "Hg", "Hg", "Hg", "Hg"], "frac_coords": [[0.5000, 0.5000, 0.0000], [0.2500, 0.7500, 0.5000], [0.0000, 0.0000, 0.0000], [0.7500, 0.2500, 0.5000], [0.5468, 0.1250, 0.2500], [0.2032, 0.6250, 0.2500], [0.3750, 0.4532, 0.7500], [0.8750, 0.7968, 0.7500]], "energy_ev_per_atom": -2.7753, "crystal_system": "tetragonal"}



Record 8
{"formula": "YEr2Cu4", "functional": "PBE-GGA", "state": "optimized geometry", "cell": [[-2.9197, 3.2101, -2.6305], [-3.9530, -1.1712, 2.9582], [4.8624, 3.2118, 3.4169]], "species": ["Y", "Cu", "Cu", "Cu", "Cu", "Er", "Er"], "frac_coords": [[0.0000, 0.0000, 0.0000], [0.3787, 0.8787, 0.7574], [0.8787, 0.3787, 0.7574], [0.6213, 0.1213, 0.2426], [0.1213, 0.6213, 0.2426], [0.7139, 0.7139, 0.4278], [0.2861, 0.2861, 0.5722]], "formation_energy_ev_per_atom": -0.019, "energy_ev_per_atom": -4.5864, "crystal_system": "tetragonal"}



Record 9
{"formula": "KLa2Sc", "functional": "PBE-GGA", "state": "optimized geometry", "cell": [[-3.9462, -4.4362, -2.2991], [-1.2732, -6.1878, -0.7921], [-3.8877, -0.9347, 5.8096]], "species": ["K", "La", "La", "Sc"], "frac_coords": [[0.2459, 0.2459, 0.2639], [0.0116, 0.0116, 0.9401], [0.7540, 0.7540, 0.7565], [0.4885, 0.4885, 0.5396]], "formation_energy_ev_per_atom": 0.399, "energy_ev_per_atom": -3.9216, "e_above_lowest_polymorph_ev_per_atom": 0.207, "crystal_system": "monoclinic"}



Record 10
{"formula": "HgTePt2", "functional": "PBE-GGA", "state": "optimized geometry", "cell": [[-2.5634, 1.1032, 2.0627], [-0.9073, -3.1913, 0.5793], [3.1811, -3.3608, 5.7508]], "species": ["Hg", "Pt", "Pt", "Te"], "frac_coords": [[0.5000, 0.7500, 0.7500], [0.0000, 0.9949, 0.0038], [0.0000, 0.5051, 0.4962], [0.5000, 0.2500, 0.2500]], "raw_formation_energy_ev_per_atom": 0.112, "energy_ev_per_atom": -3.7691, "e_above_lowest_polymorph_ev_per_atom": 0.161, "crystal_system": "monoclinic"}



Record 11
{"formula": "MgNi12B6", "functional": "PBE-GGA", "state": "optimized geometry", "cell": [[6.0042, -0.0263, -0.0370], [-1.5138, 5.8103, -0.0370], [-1.5138, -1.9499, 5.4735]], "species": ["Mg", "Ni", "Ni", "Ni", "Ni", "Ni", "Ni", "Ni", "Ni", "Ni", "Ni", "Ni", "Ni", "B", "B", "B", "B", "B", "B"], "frac_coords": [[0.0000, 0.0000, 0.0000], [0.8700, 0.1300, 0.5000], [0.8162, 0.5523, 0.5523], [0.5523, 0.5523, 0.8162], [0.4477, 0.1838, 0.4477], [0.4477, 0.4477, 0.1838], [0.1838, 0.4477, 0.4477], [0.1300, 0.5000, 0.8700], [0.5000, 0.8700, 0.1300], [0.1300, 0.8700, 0.5000], [0.8700, 0.5000, 0.1300], [0.5000, 0.1300, 0.8700], [0.5523, 0.8162, 0.5523], [0.6741, 0.2414, 0.2414], [0.2414, 0.2414, 0.6741], [0.2414, 0.6741, 0.2414], [0.7586, 0.7586, 0.3259], [0.3259, 0.7586, 0.7586], [0.7586, 0.3259, 0.7586]], "formation_energy_ev_per_atom": -0.277, "energy_ev_per_atom": -6.1206, "crystal_system": "trigonal"}



Record 12
{"formula": "Nd4Sm2Hg3N2", "functional": "PBE-GGA", "state": "optimized geometry", "cell": [[-4.6801, 1.0603, -0.9439], [-0.0188, -3.2979, -3.6114], [-1.2636, -7.6685, 10.3209]], "species": ["Nd", "Nd", "Nd", "Nd", "Sm", "Sm", "Hg", "Hg", "Hg", "N", "N"], "frac_coords": [[0.4130, 0.9130, 0.8260], [0.9130, 0.4130, 0.8260], [0.0870, 0.5870, 0.1740], [0.5870, 0.0870, 0.1740], [0.3014, 0.3014, 0.6027], [0.6986, 0.6986, 0.3973], [0.0000, 0.0000, 0.0000], [0.1755, 0.1755, 0.3509], [0.8245, 0.8245, 0.6491], [0.3911, 0.3911, 0.7823], [0.6089, 0.6089, 0.2177]], "raw_formation_energy_ev_per_atom": -0.657, "energy_ev_per_atom": -4.8450, "crystal_system": "tetragonal"}



Record 13
{"formula": "La7Tb3Tm", "functional": "PBE-GGA", "state": "optimized geometry", "cell": [[6.0168, -0.1691, -0.2165], [-2.7433, 8.1564, 1.0568], [-2.7433, -0.9521, 8.1693]], "species": ["La", "La", "La", "La", "La", "La", "La", "Tb", "Tb", "Tb", "Tm"], "frac_coords": [[0.2116, 0.2112, 0.2112], [0.3066, 0.0188, 0.5948], [0.6934, 0.4052, 0.9812], [0.3066, 0.5948, 0.0188], [0.0000, 0.5000, 0.5000], [0.6934, 0.9812, 0.4052], [0.7884, 0.7888, 0.7888], [0.0000, 0.7949, 0.2051], [0.5000, 0.0000, 0.0000], [0.0000, 0.2051, 0.7949], [0.5000, 0.5000, 0.5000]], "formation_energy_ev_per_atom": 0.216, "energy_ev_per_atom": -4.5887, "e_above_lowest_polymorph_ev_per_atom": 0.108, "crystal_system": "orthorhombic"}



Record 14
{"formula": "Ti2CdBi", "functional": "PBE-GGA", "state": "optimized geometry", "cell": [[3.2308, -0.0003, -0.0020], [1.6152, 2.7981, -0.0020], [1.6095, 0.9292, 9.4695]], "species": ["Ti", "Ti", "Cd", "Bi"], "frac_coords": [[0.0842, 0.0842, 0.7479], [0.2491, 0.2491, 0.2521], [0.5000, 0.5000, 0.5002], [0.6667, 0.6667, 0.9998]], "formation_energy_ev_per_atom": 0.251, "energy_ev_per_atom": -4.8952, "e_above_lowest_polymorph_ev_per_atom": 0.202, "crystal_system": "monoclinic"}



Record 15
{"formula": "PaAlBi2", "functional": "PBE-GGA", "state": "optimized geometry", "cell": [[4.2988, 0.0000, 0.0000], [2.1494, 3.7228, 0.0000], [2.1494, 1.2409, 9.4532]], "species": ["Pa", "Bi", "Bi", "Al"], "frac_coords": [[0.5000, 0.5000, 0.5000], [0.0992, 0.0992, 0.7025], [0.9008, 0.9008, 0.2975], [0.0000, 0.0000, 0.0000]], "formation_energy_ev_per_atom": 0.500, "energy_ev_per_atom": -4.7504, "e_above_lowest_polymorph_ev_per_atom": 0.592, "crystal_system": "trigonal"}



Record 16
{"formula": "La2HBr", "functional": "PBE-GGA", "state": "optimized geometry", "cell": [[3.8077, 0.0000, 0.0000], [1.9039, 3.2976, 0.0000], [1.9039, 1.0992, 7.7880]], "species": ["La", "La", "H", "Br"], "frac_coords": [[0.0645, 0.0645, 0.8066], [0.2697, 0.2697, 0.1908], [0.6673, 0.6673, 0.9981], [0.4985, 0.4985, 0.5045]], "energy_ev_per_atom": -4.5463, "e_above_lowest_polymorph_ev_per_atom": 0.029, "crystal_system": "trigonal"}



Record 17
{"formula": "AgAuO2", "functional": "PBE-GGA", "state": "optimized geometry", "cell": [[-1.6263, 3.7558, 1.3574], [-4.2706, -0.7547, -3.0283], [-2.4787, -2.5680, 4.1355]], "species": ["Ag", "Ag", "Au", "Au", "O", "O", "O", "O"], "frac_coords": [[0.5000, 0.0000, 0.0000], [0.0000, 0.0000, 0.5000], [0.5000, 0.5000, 0.5000], [0.0000, 0.5000, 0.0000], [0.2500, 0.7044, 0.7500], [0.2500, 0.7044, 0.2500], [0.7500, 0.2956, 0.2500], [0.7500, 0.2956, 0.7500]], "raw_formation_energy_ev_per_atom": -0.107, "energy_ev_per_atom": -4.1184, "crystal_system": "orthorhombic"}



Record 18
{"formula": "UPa3As4", "functional": "PBE-GGA", "state": "optimized geometry", "cell": [[7.0712, 0.0555, 0.0000], [-2.4264, 6.6736, 0.0000], [0.0000, 0.0000, 8.1952]], "species": ["As", "As", "As", "As", "As", "As", "As", "As", "Pa", "Pa", "Pa", "Pa", "Pa", "Pa", "U", "U"], "frac_coords": [[0.9993, 0.2493, 0.6256], [0.5005, 0.2500, 0.8750], [0.4993, 0.2493, 0.3744], [0.0005, 0.2500, 0.1250], [0.9995, 0.7500, 0.8750], [0.5007, 0.7507, 0.6256], [0.4995, 0.7500, 0.1250], [0.0007, 0.7507, 0.3744], [0.7500, 0.0000, 0.3744], [0.2500, 0.0000, 0.6256], [0.7500, 0.5000, 0.6247], [0.7500, 0.5000, 0.1248], [0.2500, 0.5000, 0.3753], [0.2500, 0.5000, 0.8752], [0.7500, 0.0000, 0.8765], [0.2500, 0.0000, 0.1235]], "formation_energy_ev_per_atom": -0.970, "energy_ev_per_atom": -8.2670, "crystal_system": "monoclinic"}



Record 19
{"formula": "NaCa2Tl4", "functional": "PBE-GGA", "state": "optimized geometry", "cell": [[-4.7442, 2.4050, 0.6912], [-4.0589, -1.0655, -3.3406], [-5.4780, -6.0552, 4.2813]], "species": ["Na", "Ca", "Ca", "Tl", "Tl", "Tl", "Tl"], "frac_coords": [[0.0000, 0.0000, 0.0000], [0.7485, 0.7485, 0.7544], [0.2515, 0.2515, 0.2456], [0.8717, 0.8717, 0.3848], [0.1283, 0.1283, 0.6152], [0.6187, 0.6187, 0.1438], [0.3813, 0.3813, 0.8562]], "formation_energy_ev_per_atom": -0.152, "energy_ev_per_atom": -2.2644, "e_above_lowest_polymorph_ev_per_atom": 0.000, "crystal_system": "trigonal"}



Record 20
{"formula": "BaCa3Rh", "functional": "PBE-GGA", "state": "optimized geometry", "cell": [[-0.5030, -5.5569, -6.0570], [6.4064, 0.5784, 4.5341], [-2.4289, -1.8933, 7.5349]], "species": ["Ca", "Ca", "Ca", "Ca", "Ca", "Ca", "Rh", "Rh", "Ba", "Ba"], "frac_coords": [[0.9918, 0.2790, 0.6425], [0.0687, 0.7730, 0.3019], [0.0791, 0.7998, 0.7876], [0.5099, 0.2845, 0.6286], [0.4895, 0.2516, 0.1562], [0.5947, 0.7675, 0.3165], [0.0401, 0.0258, 0.9720], [0.7878, 0.5258, 0.4717], [0.0047, 0.2897, 0.1369], [0.5763, 0.7620, 0.8087]], "formation_energy_ev_per_atom": -0.207, "energy_ev_per_atom": -3.2628, "e_above_lowest_polymorph_ev_per_atom": 0.021, "crystal_system": "triclinic"}